Compound: BaFe2Br
Source: Alexandria
Functional: PBE-GGA
Structure: optimized geometry

Computed properties:
Energy above the most stable polymorph in this dataset ... 463 meV/atom
Magnetization ... 0.00 μB/f.u.
ΔE_f (raw) ... 570.0 meV/atom

```
BaFe2Br
1.0
4.7571 0.0000 0.0000
0.0000 4.7571 0.0000
2.3785 2.3785 8.0119
Fe Ba Br
4 2 2
Direct
0.3750 0.6250 0.7500
0.8750 0.6250 0.7500
0.3750 0.6250 0.2500
0.3750 0.1250 0.2500
0.7500 0.2500 0.5000
0.0000 0.0000 0.0000
0.2500 0.7500 0.5000
0.5000 0.5000 0.0000
```